[1]
Here is a geometry-optimized Be2Pb structure from Alexandria via LeMat-Bulk. Energies are from GGA-PBE.

```
Be2Pb
1.0
2.947 -2.228 0.000
2.947 2.228 0.000
-2.577 0.000 8.169
Be Pb
4 2
direct
0.057 0.057 0.126
0.115 0.477 0.991
0.523 0.885 0.009
0.943 0.943 0.874
0.468 0.438 0.698
0.562 0.532 0.302
```

The density of states at the Fermi level comes out at 1.3 states/eV/cell. The symmetry is C2, No. 5. The theoretical density is 7.0 g cm⁻³. As for the energy relative to the elements: 0.333 eV per atom. The value obtained for the energy above the most stable polymorph in this dataset is 0.132 eV/atom.

[2]
Here is a geometry-optimized RbNpTe2 structure from Alexandria via LeMat-Bulk. Energies are from GGA-PBE.

```
RbNpTe2
1.0
2.282 1.317 8.654
-2.282 1.317 8.654
0.000 -2.635 8.654
Rb Np Te
1 1 2
direct
0.000 0.000 0.000
0.831 0.831 0.831
0.231 0.231 0.231
0.432 0.432 0.432
```

The density of states at the Fermi level comes out at 9.4 states/eV/cell. The symmetry is R3m, No. 160. The theoretical density is 6.1 g cm⁻³. As for the formation energy without anion corrections: -3.46 eV per formula unit.

[3]
Here is a geometry-optimized Mg3Ga2I8 structure from Alexandria via LeMat-Bulk. Energies are from GGA-PBE.

```
Mg3Ga2I8
1.0
8.156 -4.276 0.000
8.156 4.276 0.000
-2.228 0.000 7.155
Mg Ga I
3 2 8
direct
0.000 0.000 0.000
0.261 0.739 0.500
0.739 0.261 0.500
0.251 0.251 0.834
0.749 0.749 0.166
0.105 0.105 0.403
0.132 0.654 0.102
0.346 0.868 0.898
0.389 0.389 0.570
0.611 0.611 0.430
0.654 0.132 0.102
0.868 0.346 0.898
0.895 0.895 0.597
```

The density of states at the Fermi level comes out at 0.0 states/eV/cell. The symmetry is C2/m, No. 12. The theoretical density is 4.1 g cm⁻³. As for the formation energy without anion corrections: -10.28 eV per formula unit.

[4]
Here is a geometry-optimized CaTb2Ce3Se6 structure from Alexandria via LeMat-Bulk. Energies are from GGA-PBE.

```
CaTb2Ce3Se6
1.0
3.588 -6.220 0.000
3.588 6.220 0.000
-2.393 0.000 6.883
Ca Tb Ce Se
1 2 3 6
direct
0.000 0.000 0.000
0.333 0.667 0.000
0.667 0.333 0.000
0.166 0.834 0.500
0.500 0.500 0.500
0.834 0.166 0.500
0.080 0.414 0.240
0.254 0.254 0.761
0.414 0.080 0.240
0.586 0.920 0.760
0.746 0.746 0.239
0.920 0.586 0.760
```

The density of states at the Fermi level comes out at 19.8 states/eV/cell. The symmetry is C2/m, No. 12. The theoretical density is 6.8 g cm⁻³. As for the formation energy without anion corrections: -21.88 eV per formula unit.

[5]
Here is a geometry-optimized Na2BeCd structure from Alexandria via LeMat-Bulk. Energies are from GGA-PBE.

```
Na2BeCd
1.0
0.000 3.573 3.573
3.573 0.000 3.573
3.573 3.573 0.000
Na Be Cd
2 1 1
direct
0.250 0.250 0.250
0.750 0.750 0.750
0.000 0.000 0.000
0.500 0.500 0.500
```

The density of states at the Fermi level comes out at 1.9 states/eV/cell. The symmetry is Fm-3m, No. 225. The theoretical density is 3.0 g cm⁻³. As for the energy relative to the elements: 0.472 eV per atom. The value obtained for the energy above the most stable polymorph in this dataset is 0.039 eV/atom.

[6]
Here is a geometry-optimized LaTmCdNi structure from Alexandria via LeMat-Bulk. Energies are from GGA-PBE.

```
LaTmCdNi
1.0
0.000 3.652 3.652
3.652 0.000 3.652
3.652 3.652 0.000
La Tm Cd Ni
1 1 1 1
direct
0.000 0.000 0.000
0.500 0.500 0.500
0.750 0.750 0.750
0.250 0.250 0.250
```

The density of states at the Fermi level comes out at 3.9 states/eV/cell. The symmetry is F-43m, No. 216. The theoretical density is 8.2 g cm⁻³. As for the energy relative to the elements: -0.208 eV per atom.

[7]
Here is a geometry-optimized YTlSe2 structure from Alexandria via LeMat-Bulk. Energies are from GGA-PBE.

```
YTlSe2
1.0
3.647 0.000 0.000
0.000 3.647 0.000
0.000 0.000 7.908
Y Tl Se
1 1 2
direct
0.000 0.000 0.000
0.000 0.000 0.500
0.500 0.500 0.206
0.500 0.500 0.794
```

The density of states at the Fermi level comes out at 0.6 states/eV/cell. The symmetry is P4/mmm, No. 123. The theoretical density is 7.1 g cm⁻³. As for the formation energy without anion corrections: -4.64 eV per formula unit.

[8]
Here is a geometry-optimized LiCrSe2 structure from Alexandria via LeMat-Bulk. Energies are from GGA-PBE.

```
LiCrSe2
1.0
3.539 0.000 0.000
0.000 1.672 6.521
0.000 -1.672 6.521
Li Cr Se
1 1 2
direct
0.000 0.000 0.000
0.500 0.217 0.217
0.000 0.800 0.800
0.500 0.572 0.572
```

The density of states at the Fermi level comes out at 1.3 states/eV/cell. The symmetry is Amm2, No. 38. The theoretical density is 4.7 g cm⁻³. As for the formation energy without anion corrections: -2.45 eV per formula unit.

[9]
Here is a geometry-optimized SrHgIr structure from Alexandria via LeMat-Bulk. Energies are from GGA-PBE.

```
SrHgIr
1.0
0.000 3.429 3.429
3.429 0.000 3.429
3.429 3.429 0.000
Sr Hg Ir
1 1 1
direct
0.000 0.000 0.000
0.500 0.500 0.500
0.250 0.250 0.250
```

The density of states at the Fermi level comes out at 3.4 states/eV/cell. The symmetry is F-43m, No. 216. The theoretical density is 9.9 g cm⁻³. As for the energy relative to the elements: 0.103 eV per atom.

[10]
Here is a geometry-optimized NaSrTbBiO6 structure from Alexandria via LeMat-Bulk. Energies are from GGA-PBE.

```
NaSrTbBiO6
1.0
0.000 4.319 4.319
4.319 0.000 4.319
4.319 4.319 0.000
Na Sr Tb Bi O
1 1 1 1 6
direct
0.000 0.000 0.000
0.500 0.500 0.500
0.250 0.250 0.250
0.750 0.750 0.750
0.507 0.507 0.993
0.507 0.993 0.507
0.507 0.993 0.993
0.993 0.507 0.507
0.993 0.507 0.993
0.993 0.993 0.507
```

The density of states at the Fermi level comes out at 4.7 states/eV/cell. The symmetry is F-43m, No. 216. The theoretical density is 5.9 g cm⁻³. As for the formation energy without anion corrections: -18.92 eV per formula unit.

[11]
Here is a geometry-optimized AgBiRh2 structure from Alexandria via LeMat-Bulk. Energies are from GGA-PBE.

```
AgBiRh2
1.0
-3.666 3.666 2.874
3.666 -3.666 2.874
3.666 3.666 -2.874
Ag Bi Rh
2 2 4
direct
0.000 0.000 0.000
0.750 0.250 0.500
0.250 0.750 0.500
0.500 0.500 0.000
0.136 0.625 0.011
0.375 0.386 0.511
0.614 0.125 0.989
0.875 0.864 0.489
```

The density of states at the Fermi level comes out at 2.5 states/eV/cell. The symmetry is I-42d, No. 122. The theoretical density is 11.2 g cm⁻³. As for the energy relative to the elements: 0.367 eV per atom.

[12]
Here is a geometry-optimized Sm4TlBi2 structure from Alexandria via LeMat-Bulk. Energies are from GGA-PBE.

```
Sm4TlBi2
1.0
6.221 0.000 0.000
0.000 6.780 0.000
-2.531 0.000 10.465
Sm Tl Bi
8 2 4
direct
0.025 0.250 0.350
0.144 0.250 0.958
0.461 0.511 0.242
0.461 0.989 0.242
0.539 0.011 0.758
0.539 0.489 0.758
0.856 0.750 0.042
0.975 0.750 0.650
0.064 0.250 0.671
0.936 0.750 0.329
0.300 0.750 0.953
0.407 0.750 0.501
0.593 0.250 0.499
0.700 0.250 0.047
```

The density of states at the Fermi level comes out at 12.8 states/eV/cell. The symmetry is P2_1/m, No. 11. The theoretical density is 9.2 g cm⁻³. As for the energy relative to the elements: -0.454 eV per atom.

[13]
Here is a geometry-optimized Mg2ZnIr structure from Alexandria via LeMat-Bulk. Energies are from GGA-PBE.

```
Mg2ZnIr
1.0
2.911 -3.577 0.000
2.911 3.577 0.000
0.000 0.000 3.093
Mg Zn Ir
2 1 1
direct
0.000 0.500 0.000
0.500 0.000 0.000
0.000 0.000 0.500
0.500 0.500 0.500
```

The density of states at the Fermi level comes out at 1.8 states/eV/cell. The symmetry is Cmmm, No. 65. The theoretical density is 7.9 g cm⁻³. As for the energy relative to the elements: -0.243 eV per atom.

[14]
Here is a geometry-optimized Mn11Os3 structure from Alexandria via LeMat-Bulk. Energies are from GGA-PBE.

```
Mn11Os3
1.0
-1.948 4.443 4.773
1.948 -4.443 4.773
1.948 4.443 -4.773
Mn Os
11 3
direct
0.000 0.000 0.000
0.078 0.852 0.226
0.152 0.500 0.652
0.239 0.364 0.875
0.373 0.148 0.226
0.489 0.364 0.125
0.511 0.636 0.875
0.627 0.852 0.774
0.761 0.636 0.125
0.848 0.500 0.348
0.922 0.148 0.774
0.221 0.721 0.500
0.500 0.000 0.500
0.779 0.279 0.500
```

The density of states at the Fermi level comes out at 15.1 states/eV/cell. The symmetry is Immm, No. 71. The theoretical density is 11.8 g cm⁻³. As for the energy relative to the elements: 0.151 eV per atom.

[15]
Here is a geometry-optimized CsPmP2O8 structure from Alexandria via LeMat-Bulk. Energies are from GGA-PBE.

```
CsPmP2O8
1.0
5.732 0.000 0.000
-2.866 4.964 0.000
0.000 0.000 8.747
Cs Pm P O
1 1 2 8
direct
0.000 0.000 0.000
0.000 0.000 0.500
0.333 0.667 0.718
0.667 0.333 0.282
0.186 0.373 0.661
0.186 0.814 0.661
0.333 0.667 0.895
0.373 0.186 0.339
0.627 0.814 0.661
0.667 0.333 0.105
0.814 0.186 0.339
0.814 0.627 0.339
```

The density of states at the Fermi level comes out at 11.6 states/eV/cell. The symmetry is P-3m1, No. 164. The theoretical density is 3.1 g cm⁻³. As for the formation energy without anion corrections: -27.44 eV per formula unit.

[16]
Here is a geometry-optimized LiAc3Al2 structure from Alexandria via LeMat-Bulk. Energies are from GGA-PBE.

```
LiAc3Al2
1.0
5.622 0.000 0.000
-2.811 4.869 0.000
0.000 0.000 13.760
Li Ac Al
2 6 4
direct
0.333 0.667 0.172
0.667 0.333 0.828
0.000 0.000 0.255
0.000 0.000 0.745
0.333 0.667 0.421
0.333 0.667 0.917
0.667 0.333 0.083
0.667 0.333 0.579
0.000 0.000 0.000
0.000 0.000 0.500
0.333 0.667 0.674
0.667 0.333 0.326
```

The density of states at the Fermi level comes out at 11.8 states/eV/cell. The symmetry is P-3m1, No. 164. The theoretical density is 6.5 g cm⁻³. As for the energy relative to the elements: -0.152 eV per atom.

[17]
Here is a geometry-optimized K4Ho3RhO8 structure from Alexandria via LeMat-Bulk. Energies are from GGA-PBE.

```
K4Ho3RhO8
1.0
3.384 1.954 6.215
-3.384 1.954 6.215
0.000 -3.907 6.215
K Ho Rh O
4 3 1 8
direct
0.000 0.000 0.000
0.000 0.500 0.500
0.500 0.000 0.500
0.500 0.500 0.000
0.000 0.000 0.500
0.000 0.500 0.000
0.500 0.000 0.000
0.500 0.500 0.500
0.229 0.229 0.229
0.238 0.724 0.724
0.276 0.276 0.762
0.276 0.762 0.276
0.724 0.238 0.724
0.724 0.724 0.238
0.762 0.276 0.276
0.771 0.771 0.771
```

The symmetry is R-3m, No. 166. The theoretical density is 5.9 g cm⁻³. As for the formation energy without anion corrections: -36.75 eV per formula unit.

[18]
Here is a geometry-optimized LiTbThS4 structure from Alexandria via LeMat-Bulk. Energies are from GGA-PBE.

```
LiTbThS4
1.0
-3.960 4.153 5.714
3.960 -4.153 5.714
3.960 4.153 -5.714
Li Tb Th S
2 2 2 8
direct
0.383 0.133 0.250
0.617 0.867 0.750
0.000 0.000 0.500
0.000 0.500 0.000
0.000 0.500 0.500
0.500 0.500 0.000
0.225 0.743 0.482
0.239 0.257 0.982
0.243 0.256 0.513
0.243 0.730 0.987
0.757 0.270 0.013
0.757 0.744 0.487
0.761 0.743 0.018
0.775 0.257 0.518
```

The density of states at the Fermi level comes out at 0.0 states/eV/cell. The symmetry is Imma, No. 74. The theoretical density is 4.6 g cm⁻³. As for the formation energy without anion corrections: -13.04 eV per formula unit.

[19]
Here is a geometry-optimized Pu3InRu2 structure from Alexandria via LeMat-Bulk. Energies are from GGA-PBE.

```
Pu3InRu2
1.0
3.235 0.000 0.000
0.000 3.235 0.000
0.000 0.000 12.299
Pu In Ru
3 1 2
direct
0.000 0.000 0.000
0.000 0.000 0.295
0.000 0.000 0.705
0.500 0.500 0.500
0.500 0.500 0.142
0.500 0.500 0.858
```

The density of states at the Fermi level comes out at 20.5 states/eV/cell. The symmetry is P4/mmm, No. 123. The theoretical density is 13.5 g cm⁻³. As for the energy relative to the elements: -0.095 eV per atom.

[20]
Here is a geometry-optimized Pu3Si3Pd2 structure from Alexandria via LeMat-Bulk. Energies are from GGA-PBE.

```
Pu3Si3Pd2
1.0
5.750 0.000 0.000
0.000 14.278 0.000
0.000 0.000 7.567
Pu Si Pd
12 12 8
direct
0.003 0.111 0.218
0.003 0.389 0.218
0.222 0.750 0.095
0.278 0.250 0.595
0.497 0.611 0.718
0.497 0.889 0.718
0.503 0.111 0.282
0.503 0.389 0.282
0.722 0.750 0.405
0.778 0.250 0.905
0.997 0.611 0.782
0.997 0.889 0.782
0.189 0.044 0.561
0.189 0.456 0.561
0.216 0.750 0.522
0.284 0.250 0.022
0.311 0.544 0.061
0.311 0.956 0.061
0.689 0.044 0.939
0.689 0.456 0.939
0.716 0.750 0.978
0.784 0.250 0.478
0.811 0.544 0.439
0.811 0.956 0.439
0.208 0.595 0.362
0.208 0.905 0.362
0.292 0.095 0.862
0.292 0.405 0.862
0.708 0.595 0.138
0.708 0.905 0.138
0.792 0.095 0.638
0.792 0.405 0.638
```

The density of states at the Fermi level comes out at 86.9 states/eV/cell. The symmetry is Pnma, No. 62. The theoretical density is 11.0 g cm⁻³. As for the formation energy without anion corrections: -4.17 eV per formula unit.

[21]
Here is a geometry-optimized FeAsAu2 structure from Alexandria via LeMat-Bulk. Energies are from GGA-PBE.

```
FeAsAu2
1.0
3.150 0.000 0.000
0.000 4.532 0.000
0.000 0.000 4.787
Fe As Au
1 1 2
direct
0.000 0.000 0.000
0.500 0.500 0.000
0.000 0.500 0.500
0.500 0.000 0.500
```

The density of states at the Fermi level comes out at 3.1 states/eV/cell. The symmetry is Pmmm, No. 47. The theoretical density is 12.8 g cm⁻³. As for the energy relative to the elements: 0.270 eV per atom.

[22]
Here is a geometry-optimized Tc2MoIr structure from Alexandria via LeMat-Bulk. Energies are from GGA-PBE.

```
Tc2MoIr
1.0
3.888 0.000 0.000
0.000 3.888 0.000
0.000 0.000 3.923
Tc Mo Ir
2 1 1
direct
0.000 0.500 0.000
0.500 0.000 0.000
0.000 0.000 0.500
0.500 0.500 0.500
```

The density of states at the Fermi level comes out at 4.7 states/eV/cell. The symmetry is P4/mmm, No. 123. The theoretical density is 13.6 g cm⁻³. As for the energy relative to the elements: -0.113 eV per atom. The value obtained for the energy above the most stable polymorph in this dataset is 0.029 eV/atom.

[23]
Here is a geometry-optimized ZnPbSe4 structure from Alexandria via LeMat-Bulk. Energies are from GGA-PBE.

```
ZnPbSe4
1.0
0.000 4.151 4.151
4.151 0.000 4.151
4.151 4.151 0.000
Zn Pb Se
1 1 4
direct
0.000 0.000 0.000
0.750 0.750 0.750
0.375 0.375 0.375
0.375 0.375 0.876
0.375 0.876 0.375
0.876 0.375 0.375
```

The density of states at the Fermi level comes out at 1.4 states/eV/cell. The symmetry is F-43m, No. 216. The theoretical density is 6.8 g cm⁻³. As for the formation energy without anion corrections: 1.87 eV per formula unit.